# 1
Computed, not measured: an optimized crystal structure of Ac2SnH3 at the PBE-GGA level of DFT.

a b c (Å): 4.096 8.490 8.194
angles (deg): 111.85 90.00 103.96
Sites, in units of the cell vectors:
Ac (0.470, 0.940, 0.725)
Ac (0.530, 0.060, 0.275)
Ac (0.797, 0.594, 0.314)
Ac (0.203, 0.406, 0.686)
Sn (0.870, 0.741, 0.965)
Sn (0.130, 0.259, 0.035)
H (0.307, 0.613, 0.520)
H (0.931, 0.863, 0.569)
H (0.595, 0.190, 0.618)
H (0.405, 0.810, 0.382)
H (0.069, 0.137, 0.431)
H (0.693, 0.387, 0.480)

Output
Raw total energy (eV per atom): -4.282
Symmetry: C2/m
N(E_F) (states/eV/cell): 3.88


# 2
Computed, not measured: an optimized crystal structure of Ac8Sn5H at the PBE-GGA level of DFT.

a b c (Å): 8.728 8.728 8.728
angles (deg): 111.15 106.17 111.15
Sites, in units of the cell vectors:
Ac (0.140, 0.731, 0.000)
Ac (0.000, 0.140, 0.731)
Ac (0.738, 0.233, 0.344)
Ac (0.656, 0.394, 0.889)
Ac (0.495, 0.606, 0.262)
Ac (0.591, 0.860, 0.860)
Ac (0.269, 0.269, 0.409)
Ac (0.111, 0.767, 0.505)
Sn (0.007, 0.369, 0.131)
Sn (0.869, 0.876, 0.237)
Sn (0.763, 0.631, 0.638)
Sn (0.500, 0.000, 0.500)
Sn (0.362, 0.124, 0.993)
H (0.250, 0.500, 0.750)

Output
Raw total energy (eV per atom): -4.540
Symmetry: I-4
N(E_F) (states/eV/cell): 12.39


# 3
Computed, not measured: an optimized crystal structure of Ac2Sn2H at the PBE-GGA level of DFT.

a b c (Å): 6.601 6.783 8.254
angles (deg): 114.26 113.57 90.00
Sites, in units of the cell vectors:
Ac (0.394, 0.606, 0.788)
Ac (0.606, 0.394, 0.212)
Ac (0.106, 0.818, 0.212)
Ac (0.894, 0.182, 0.788)
Sn (0.852, 0.654, 0.703)
Sn (0.148, 0.346, 0.297)
Sn (0.648, 0.951, 0.297)
Sn (0.352, 0.049, 0.703)
H (0.750, 0.500, 0.000)
H (0.250, 0.500, 0.000)

Output
Raw total energy (eV per atom): -4.364
Symmetry: Ibam
N(E_F) (states/eV/cell): 7.00


What did the third record say?
Computed, not measured: an optimized crystal structure of Ac2Sn2H at the PBE-GGA level of DFT.

a b c (Å): 6.601 6.783 8.254
angles (deg): 114.26 113.57 90.00
Sites, in units of the cell vectors:
Ac (0.394, 0.606, 0.788)
Ac (0.606, 0.394, 0.212)
Ac (0.106, 0.818, 0.212)
Ac (0.894, 0.182, 0.788)
Sn (0.852, 0.654, 0.703)
Sn (0.148, 0.346, 0.297)
Sn (0.648, 0.951, 0.297)
Sn (0.352, 0.049, 0.703)
H (0.750, 0.500, 0.000)
H (0.250, 0.500, 0.000)

Output
Raw total energy (eV per atom): -4.364
Symmetry: Ibam
N(E_F) (states/eV/cell): 7.00